The following is a DFT calculation (PBEsol) of an optimized crystal structure of CrCoAs2Br.

It has space group P4/mmm (No. 123), with a = 4.4070 Å, b = 4.4070 Å, c = 5.2070 Å, α = 90.00°, β = 90.00° and γ = 90.00°. The distinct sites, in fractional coordinates, are Cr at (0.0000, 0.0000, 0.0000), Co at (0.5000, 0.5000, 0.5000), As at (0.0000, 0.5000, 0.5000) and Br at (0.5000, 0.5000, 0.0000).

As for the total DFT energy (no corrections): -27.10 eV for the cell shown. For the total magnetization, the calculation gives 4.7 μB/f.u. The value obtained for the density of states at the Fermi level is 4.2 states/eV/f.u. The uncorrected formation energy comes out at 13.7 kcal/mol of atoms.

***

The following is a DFT calculation (PBEsol) of an optimized crystal structure of Zn2InGaMo.

It has space group P4/mmm (No. 123), with a = 4.8369 Å, b = 4.8369 Å, c = 5.1442 Å, α = 90.00°, β = 90.00° and γ = 90.00°. The distinct sites, in fractional coordinates, are Zn at (0.0000, 0.5000, 0.0000), In at (0.0000, 0.0000, 0.0000), Ga at (0.0000, 0.0000, 0.5000) and Mo at (0.5000, 0.5000, 0.5000).

As for the total DFT energy (no corrections): -14.03 eV for the cell shown. For the total magnetization, the calculation gives 4.3 μB/f.u. The value obtained for the density of states at the Fermi level is 2.5 states/eV/f.u. As for the energy of formation: 1.4445 eV per atom.

***

The following is a DFT calculation (PBEsol) of an optimized crystal structure of KY2Os.

It has space group Immm (No. 71), with a = 4.4445 Å, b = 5.6612 Å, c = 7.6604 Å, α = 90.00°, β = 90.00° and γ = 90.00°. The distinct sites, in fractional coordinates, are K at (0.0000, 0.0000, 0.0000), Y at (0.0000, 0.5000, 0.2217) and Os at (0.0000, 0.0000, 0.5000).

As for the total DFT energy (no corrections): -50.77 eV for the cell shown. For the total magnetization, the calculation gives 0.0 μB/f.u. The value obtained for the density of states at the Fermi level is 2.1 states/eV/f.u. Its energy above the lowest structure with this stoichiometry is 0.005 eV/atom. As for the energy of formation: 0.4018 eV per atom.

***

The following is a DFT calculation (PBEsol) of an optimized crystal structure of SrCa2Se.

It has space group P4mm (No. 99), with a = 3.7309 Å, b = 3.7309 Å, c = 9.7421 Å, α = 90.00°, β = 90.00° and γ = 90.00°. The distinct sites, in fractional coordinates, are Sr at (0.0000, 0.0000, 0.0000), Ca at (0.0000, 0.0000, 0.6389), Ca at (0.5000, 0.5000, 0.3301) and Se at (0.5000, 0.5000, 0.8048).

As for the total DFT energy (no corrections): -13.39 eV for the cell shown. For the total magnetization, the calculation gives 0.0 μB/f.u. The value obtained for the density of states at the Fermi level is 2.4 states/eV/f.u. The uncorrected formation energy comes out at -19.8 kcal/mol of atoms.

***

The following is a DFT calculation (PBEsol) of an optimized crystal structure of ZrTe2Pt.

It has space group C2/m (No. 12), with a = 13.3334 Å, b = 3.6297 Å, c = 4.3511 Å, α = 90.00°, β = 96.45° and γ = 90.00°. The distinct sites, in fractional coordinates, are Zr at (0.0000, 0.0000, 0.0000), Te at (0.1633, 0.5000, 0.2173) and Pt at (0.0000, 0.5000, 0.5000).

As for the total DFT energy (no corrections): -50.49 eV for the cell shown. For the total magnetization, the calculation gives 0.0 μB/f.u. The value obtained for the density of states at the Fermi level is 1.6 states/eV/f.u. Its energy above the lowest structure with this stoichiometry is 0.000 eV/atom. The uncorrected formation energy comes out at -12.3 kcal/mol of atoms.

***

The following is a DFT calculation (PBEsol) of an optimized crystal structure of Mo2AsOs.

It has space group P4mm (No. 99), with a = 3.0661 Å, b = 3.0661 Å, c = 6.3061 Å, α = 90.00°, β = 90.00° and γ = 90.00°. The distinct sites, in fractional coordinates, are Mo at (0.0000, 0.0000, 0.0000), Mo at (0.5000, 0.5000, 0.2685), As at (0.5000, 0.5000, 0.7818) and Os at (0.0000, 0.0000, 0.5103).

As for the total DFT energy (no corrections): -40.29 eV for the cell shown. For the total magnetization, the calculation gives 0.0 μB/f.u. The value obtained for the density of states at the Fermi level is 3.0 states/eV/f.u. As for the energy of formation: 0.1419 eV per atom.

***

The following is a DFT calculation (PBEsol) of an optimized crystal structure of Li2Hg.

It has space group I4_1/amd (No. 141, origin choice 2), with a = 4.0165 Å, b = 4.0165 Å, c = 25.6070 Å, α = 90.00°, β = 90.00° and γ = 90.00°. The distinct sites, in fractional coordinates, are Li at (0.0000, 0.2500, 0.1243), Li at (0.0000, 0.2500, 0.2880) and Hg at (0.0000, 0.2500, 0.7960).

As for the total DFT energy (no corrections): -44.06 eV for the cell shown. For the total magnetization, the calculation gives 0.0 μB/f.u. The value obtained for the density of states at the Fermi level is 0.9 states/eV/f.u. As for the energy of formation: -0.3357 eV per atom.

***

The following is a DFT calculation (PBEsol) of an optimized crystal structure of Li2MnVP2O8.

It has space group P2_1/m (No. 11), with a = 4.6908 Å, b = 6.0236 Å, c = 10.3104 Å, α = 90.00°, β = 90.17° and γ = 90.00°. The distinct sites, in fractional coordinates, are Li at (0.0000, 0.0000, 0.0000), Li at (0.5000, 0.0000, 0.5000), Mn at (0.0198, 0.2500, 0.7234), V at (0.4799, 0.2500, 0.2241), P at (0.0854, 0.7500, 0.5947), P at (0.4190, 0.7500, 0.0886), O at (0.2074, 0.7500, 0.4553), O at (0.2236, 0.5458, 0.6655), O at (0.2414, 0.2500, 0.4031), O at (0.2546, 0.2500, 0.9072), O at (0.2833, 0.5459, 0.1599) and O at (0.2924, 0.7500, 0.9495).

As for the total DFT energy (no corrections): -212.99 eV for the cell shown. For the total magnetization, the calculation gives 8.0 μB/f.u. The uncorrected formation energy comes out at -48.7 kcal/mol of atoms.

***

The following is a DFT calculation (PBEsol) of an optimized crystal structure of RbYIr3.

It has space group Pm-3m (No. 221), with a = 5.0662 Å, b = 5.0662 Å, c = 5.0662 Å, α = 90.00°, β = 90.00° and γ = 90.00°. The distinct sites, in fractional coordinates, are Rb at (0.0000, 0.0000, 0.0000), Y at (0.5000, 0.5000, 0.5000) and Ir at (0.0000, 0.5000, 0.5000).

As for the total DFT energy (no corrections): -28.20 eV for the cell shown. For the total magnetization, the calculation gives 1.6 μB/f.u. The value obtained for the density of states at the Fermi level is 10.8 states/eV/f.u. As for the energy of formation: 1.8239 eV per atom.

***

The following is a DFT calculation (PBEsol) of an optimized crystal structure of Ti2Al3Ni.

It has space group P6_3/mmc (No. 194), with a = 5.1011 Å, b = 5.1011 Å, c = 7.7557 Å, α = 90.00°, β = 90.00° and γ = 120.00°. The distinct sites, in fractional coordinates, are Ti at (0.3333, 0.6667, 0.0685), Al at (0.1679, 0.3358, 0.7500) and Ni at (0.0000, 0.0000, 0.0000).

As for the total DFT energy (no corrections): -75.83 eV for the cell shown. For the total magnetization, the calculation gives 1.2 μB/f.u. The value obtained for the density of states at the Fermi level is 6.5 states/eV/f.u. As for the energy of formation: -0.4728 eV per atom.

***

The following is a DFT calculation (PBEsol) of an optimized crystal structure of Ti3GeBr.

It has space group Pm-3m (No. 221), with a = 4.5813 Å, b = 4.5813 Å, c = 4.5813 Å, α = 90.00°, β = 90.00° and γ = 90.00°. The distinct sites, in fractional coordinates, are Ti at (0.0000, 0.0000, 0.5000), Ge at (0.5000, 0.5000, 0.5000) and Br at (0.0000, 0.0000, 0.0000).

As for the total DFT energy (no corrections): -29.56 eV for the cell shown. For the total magnetization, the calculation gives 1.3 μB/f.u. The value obtained for the density of states at the Fermi level is 7.9 states/eV/f.u. The uncorrected formation energy comes out at 10.2 kcal/mol of atoms.

***

The following is a DFT calculation (PBEsol) of an optimized crystal structure of KPb5.

It has space group P4/mmm (No. 123), with a = 3.7846 Å, b = 3.7846 Å, c = 13.1659 Å, α = 90.00°, β = 90.00° and γ = 90.00°. The distinct sites, in fractional coordinates, are K at (0.0000, 0.0000, 0.0000), Pb at (0.0000, 0.0000, 0.3377), Pb at (0.5000, 0.5000, 0.1950) and Pb at (0.5000, 0.5000, 0.5000).

As for the total DFT energy (no corrections): -21.23 eV for the cell shown. For the total magnetization, the calculation gives 0.0 μB/f.u. The value obtained for the density of states at the Fermi level is 3.1 states/eV/f.u. Its energy above the lowest structure with this stoichiometry is 0.016 eV/atom. As for the energy of formation: -0.0165 eV per atom.

***

The following is a DFT calculation (PBEsol) of an optimized crystal structure of KSb2Br.

It has space group Cmmm (No. 65), with a = 4.2015 Å, b = 5.3334 Å, c = 10.0965 Å, α = 90.00°, β = 90.00° and γ = 90.00°. The distinct sites, in fractional coordinates, are K at (0.0000, 0.0000, 0.0000), Sb at (0.0000, 0.5000, 0.2784) and Br at (0.0000, 0.0000, 0.5000).

As for the total DFT energy (no corrections): -23.62 eV for the cell shown. For the total magnetization, the calculation gives 0.0 μB/f.u. The value obtained for the density of states at the Fermi level is 2.5 states/eV/f.u. Its energy above the lowest structure with this stoichiometry is 0.622 eV/atom. The uncorrected formation energy comes out at 1.8 kcal/mol of atoms.